Entry 1:
LiY2P: optimized geometry, PBE.

Cell and atoms, written as extended XYZ:
```
4
Lattice="3.661 0.027 0.000 -0.033 3.661 0.000 0.000 0.000 6.618" Properties=species:S:1:pos:R:3 pbc="T T T"
P 1.814 1.844 4.963
Y 0.000 0.000 3.432
Y 0.000 0.000 6.494
Li 1.814 1.844 1.654
```

* E_form: -576.2 meV per atom
* electronic total energy: -22.6 eV per cell
* total magnetic moment: 0.00 μB per cell


Entry 2:
LiY2P: optimized geometry, PBE.

Cell and atoms, written as extended XYZ:
```
4
Lattice="-3.539 1.725 -0.346 -1.525 -2.623 2.533 1.312 3.598 4.516" Properties=species:S:1:pos:R:3 pbc="T T T"
Y 1.230 3.374 4.235
P -1.499 2.387 4.653
Li 0.639 1.754 2.202
Y -2.157 0.581 2.387
```

* E_form: -498.2 meV per atom
* electronic total energy: -22.2 eV per cell
* total magnetic moment: 0.66 μB per cell


Entry 3:
Li2YP: optimized geometry, PBE.

Cell and atoms, written as extended XYZ:
```
4
Lattice="3.530 0.000 0.000 0.000 3.936 0.000 0.000 0.000 5.653" Properties=species:S:1:pos:R:3 pbc="T T T"
Li 0.000 0.000 2.514
Li 0.000 0.000 0.313
Y 1.765 1.968 4.240
P 1.765 1.968 1.413
```

* E_form: -302.9 meV per atom
* electronic total energy: -16.9 eV per cell
* total magnetic moment: 0.00 μB per cell


Entry 4:
Li2YP: optimized geometry, PBE.

Cell and atoms, written as extended XYZ:
```
4
Lattice="-3.988 -3.191 -4.746 -2.090 -6.010 -2.849 -2.326 0.504 3.075" Properties=species:S:1:pos:R:3 pbc="T T T"
Li -4.717 -4.883 -2.538
Y -2.101 -2.174 -1.130
P -6.303 -6.523 -3.390
Li -7.889 -8.164 -4.242
```

* E_form: -614.6 meV per atom
* electronic total energy: -18.2 eV per cell
* total magnetic moment: 0.00 μB per cell


Entry 5:
LiYP: optimized geometry, PBE.

Cell and atoms, written as extended XYZ:
```
9
Lattice="3.523 -6.101 0.000 3.523 6.101 0.000 0.000 0.000 3.802" Properties=species:S:1:pos:R:3 pbc="T T T"
P 4.884 0.000 1.901
Y 2.181 3.777 0.000
Y 2.181 -3.777 0.000
Li 0.000 0.000 0.000
Y 2.683 0.000 0.000
Li 3.523 2.034 1.901
P 1.080 1.871 1.901
Li 3.523 -2.034 1.901
P 1.080 -1.871 1.901
```

* E_form: -804.7 meV per atom
* electronic total energy: -48.6 eV per cell
* total magnetic moment: 0.00 μB per cell


Entry 6:
LiYP: optimized geometry, PBE.

Cell and atoms, written as extended XYZ:
```
3
Lattice="4.476 0.000 0.000 2.238 3.876 0.000 2.238 1.292 3.655" Properties=species:S:1:pos:R:3 pbc="T T T"
Y 0.000 0.000 0.000
Li 4.476 2.584 1.827
P 6.714 3.876 2.741
```

* E_form: -937.9 meV per atom
* electronic total energy: -16.6 eV per cell
* total magnetic moment: 0.00 μB per cell


Entry 7:
LiYP: optimized geometry, PBE.

Cell and atoms, written as extended XYZ:
```
3
Lattice="4.794 -0.005 0.000 1.710 4.479 0.000 -3.252 -2.237 2.721" Properties=species:S:1:pos:R:3 pbc="T T T"
P 2.049 1.409 0.000
Li 0.084 0.058 0.000
Y 4.372 3.007 0.000
```

* E_form: -617.6 meV per atom
* electronic total energy: -15.6 eV per cell
* total magnetic moment: 0.38 μB per cell


Entry 8:
Li2YP: optimized geometry, PBE.

Cell and atoms, written as extended XYZ:
```
4
Lattice="3.877 0.000 0.000 0.000 3.771 0.000 0.000 1.994 5.580" Properties=species:S:1:pos:R:3 pbc="T T T"
P 0.000 2.165 2.758
Li 1.939 2.163 1.201
Y 1.939 4.053 3.603
Li 0.000 4.036 0.807
```

* E_form: -650.8 meV per atom
* electronic total energy: -18.3 eV per cell
* total magnetic moment: 0.00 μB per cell


Entry 9:
Li2YP: optimized geometry, PBE.

Cell and atoms, written as extended XYZ:
```
8
Lattice="3.964 0.000 0.000 0.000 3.964 0.000 1.982 1.982 10.340" Properties=species:S:1:pos:R:3 pbc="T T T"
P 1.982 3.964 5.170
P 1.982 1.982 0.000
Li 2.747 2.973 2.585
Y 0.000 0.000 0.000
Y 3.964 1.982 5.170
Li 1.217 0.991 2.585
Li 4.954 3.199 7.755
Li 2.973 4.729 7.755
```

* E_form: -500.2 meV per atom
* electronic total energy: -35.4 eV per cell
* total magnetic moment: 0.00 μB per cell


Entry 10:
LiY2P: optimized geometry, PBE.

Cell and atoms, written as extended XYZ:
```
4
Lattice="3.868 0.009 -0.013 1.929 3.352 -0.013 1.953 1.133 8.352" Properties=species:S:1:pos:R:3 pbc="T T T"
Y 5.796 3.361 0.467
P 1.937 1.123 2.082
Y 3.874 2.247 3.672
Li 5.812 3.370 6.246
```

* E_form: -671.6 meV per atom
* electronic total energy: -22.9 eV per cell
* total magnetic moment: 0.89 μB per cell


Entry 11:
Li4YP: optimized geometry, PBE.

Cell and atoms, written as extended XYZ:
```
6
Lattice="-2.164 -4.806 -0.875 -3.642 -1.948 3.390 -5.111 -0.394 -1.506" Properties=species:S:1:pos:R:3 pbc="T T T"
Li -5.180 -5.065 -0.053
Li -4.110 -2.691 0.380
P -8.188 -5.361 0.756
Li -6.636 -2.886 -0.365
Li -5.910 -3.653 2.055
Y 0.000 0.000 0.000
```

* E_form: 11.3 meV per atom
* offset from the most stable computed form: 0.428 eV per atom
* electronic total energy: -19.5 eV per cell
* total magnetic moment: 0.00 μB per cell


Entry 12:
Li2YP: optimized geometry, PBE.

Cell and atoms, written as extended XYZ:
```
4
Lattice="-1.383 -3.773 0.702 -0.868 -2.472 -3.127 3.938 -3.788 -0.757" Properties=species:S:1:pos:R:3 pbc="T T T"
Li 1.154 -7.484 -2.388
P 1.506 -5.258 -1.584
Y 0.514 -2.542 -0.795
Li 3.295 -3.554 -0.764
```

* E_form: -661.1 meV per atom
* electronic total energy: -18.3 eV per cell
* total magnetic moment: 0.00 μB per cell